DFT (meta-GGA SCAN) results for a crystal of Cd2In2Pb relaxed with PBEsol.

## Properties
Energy of formation from the pure elements ... 0.10 eV per atom
ΔE to the lowest computed polymorph ... 0.021 eV per atom
N(E_F) ... 0.4447 states/eV/atom

Geometry as CIF:
```
data_Cd2In2Pb
_chemical_formula_sum 'Cd4 In4 Pb2'
_cell_length_a 8.749
_cell_length_b 8.749
_cell_length_c 3.263
_cell_angle_alpha 90.00
_cell_angle_beta 90.00
_cell_angle_gamma 90.00
_symmetry_space_group_name_H-M 'P 4/m b m'
_symmetry_Int_Tables_number 127
_symmetry_space_group_name_Hall '-P 4 2ab'
loop_
_atom_site_label
_atom_site_type_symbol
_atom_site_fract_x
_atom_site_fract_y
_atom_site_fract_z
Cd1 Cd 0.154 0.346 0.000
In1 In 0.144 0.644 0.500
Pb1 Pb 0.000 0.000 0.500
```